A plane-wave DFT calculation with GGA-PBE was carried out for a geometry-optimized BaPuPN4 structure.

abc: 5.5029 5.6303 7.4092
angles: 90.00 107.46 90.00
Closest atoms and distances in Å follow each position.
Space group P2_1/m (No. 11)
Unique sites:
Ba  0.2095  0.2500  0.4283 x2  6 N 2.76-2.97
Pu  0.2741  0.2500  0.9564 x2  4 N 2.17-2.33
P  0.2656  0.7500  0.1699 x2  4 N 1.65-1.67
N  0.0638  0.7500  0.9511 x2  1 P 1.67
N  0.0832  0.7500  0.3099 x2  1 P 1.65
N  0.4604  0.5206  0.1915 x4  1 P 1.66

Energy   -121.2 eV for the cell shown
Raw formation energy   -78 kJ per mole of atoms